No. 1
Material: Dy2Ga6Fe
Method: DFT, GGA-PBE
State: relaxed

Summary:
- Formation energy: -4.51 eV per formula unit
- Space group: No. 225

Cell lengths 6.1382, 6.1382, 6.1382 Å; angles 60.00, 60.00, 60.00 degrees
Atoms (fractional coordinates):
Ga: 0.7220 0.2780 0.2780
Ga: 0.2780 0.2780 0.7220
Dy: 0.7500 0.7500 0.7500
Ga: 0.7220 0.2780 0.7220
Dy: 0.2500 0.2500 0.2500
Ga: 0.2780 0.7220 0.7220
Fe: 0.0000 0.0000 0.0000
Ga: 0.7220 0.7220 0.2780
Ga: 0.2780 0.7220 0.2780

***

No. 2
Material: Co2Ir15Rh2
Method: DFT, GGA-PBE
State: relaxed

Summary:
- Formation energy: 9.11 eV per formula unit
- Space group: No. 166

Cell lengths 6.7846, 6.7846, 6.7846 Å; angles 81.12, 81.12, 81.12 degrees
Atoms (fractional coordinates):
Co: 0.9148 0.9148 0.9148
Ir: 0.3021 0.0000 0.6979
Ir: 0.3021 0.6979 0.0000
Ir: 0.0000 0.6979 0.3021
Ir: 0.0000 0.3021 0.6979
Ir: 0.0000 0.5000 0.0000
Ir: 0.8478 0.3572 0.3572
Ir: 0.6428 0.6428 0.1522
Ir: 0.1522 0.6428 0.6428
Ir: 0.5000 0.0000 0.0000
Ir: 0.6979 0.3021 0.0000
Rh: 0.7251 0.7251 0.7251
Ir: 0.3572 0.8478 0.3572
Ir: 0.0000 0.0000 0.5000
Co: 0.0852 0.0852 0.0852
Ir: 0.6979 0.0000 0.3021
Ir: 0.6428 0.1522 0.6428
Ir: 0.3572 0.3572 0.8478
Rh: 0.2749 0.2749 0.2749

***

No. 3
Material: Co2TcI8
Method: DFT, GGA-PBE
State: relaxed

Summary:
- Formation energy without anion corrections: -0.01 eV/atom
- Space group: No. 12

Cell lengths 6.7130, 8.6228, 8.6228 Å; angles 68.32, 90.91, 90.91 degrees
Atoms (fractional coordinates):
I: 0.7647 0.1261 0.7185
I: 0.7795 0.1640 0.1640
I: 0.2353 0.8739 0.2815
Co: 0.6027 0.8351 0.8351
I: 0.7647 0.7185 0.1261
Tc: 0.0000 0.0000 0.0000
I: 0.2353 0.2815 0.8739
I: 0.3336 0.3358 0.3358
I: 0.6664 0.6642 0.6642
Co: 0.3973 0.1649 0.1649
I: 0.2205 0.8360 0.8360

***

No. 4
Material: Tb2Pr3Nd6Er
Method: DFT, GGA-PBE
State: relaxed

Summary:
- Formation energy: 0.19 eV per formula unit
- Space group: No. 12

Cell lengths 6.3428, 6.3428, 12.0904 Å; angles 95.03, 95.03, 120.02 degrees
Atoms (fractional coordinates):
Pr: 0.8333 0.1667 0.5000
Tb: 0.3334 0.6666 0.0000
Nd: 0.7493 0.7493 0.2452
Er: 0.0000 0.0000 0.0000
Nd: 0.9178 0.5850 0.7550
Nd: 0.5850 0.9178 0.7550
Pr: 0.5000 0.5000 0.5000
Tb: 0.6666 0.3334 0.0000
Nd: 0.4150 0.0822 0.2450
Nd: 0.2507 0.2507 0.7548
Pr: 0.1667 0.8333 0.5000
Nd: 0.0822 0.4150 0.2450

***

No. 5
Material: GdPuAgPd
Method: DFT, GGA-PBE
State: relaxed

Summary:
- Formation energy: -1.21 eV per formula unit
- Space group: No. 216

Cell lengths 5.1020, 5.1020, 5.1020 Å; angles 60.00, 60.00, 60.00 degrees
Atoms (fractional coordinates):
Pu: 0.0000 0.0000 0.0000
Pd: 0.7500 0.7500 0.7500
Gd: 0.5000 0.5000 0.5000
Ag: 0.2500 0.2500 0.2500

***

No. 6
Material: CrCd2W
Method: DFT, GGA-PBE
State: relaxed

Summary:
- Energy above the most stable polymorph in this dataset: 793 meV per atom
- Formation energy: 4.65 eV per formula unit
- Space group: No. 122

Cell lengths 7.5763, 7.5763, 5.9993 Å; angles 50.84, 50.84, 90.00 degrees
Atoms (fractional coordinates):
W: 0.7500 0.2500 0.5000
Cd: 0.8750 0.8664 0.7500
Cd: 0.6164 0.1250 0.2500
Cd: 0.3750 0.3836 0.7500
W: 0.0000 0.0000 0.0000
Cr: 0.2500 0.7500 0.5000
Cd: 0.1336 0.6250 0.2500
Cr: 0.5000 0.5000 0.0000

***

No. 7
Material: SrY2Si
Method: DFT, GGA-PBE
State: relaxed

Summary:
- Formation energy without anion corrections: -0.04 eV/atom
- Space group: No. 123

Cell lengths 4.8430, 4.8400, 4.7229 Å; angles 90.00, 90.00, 90.00 degrees
Atoms (fractional coordinates):
Y: 0.0000 0.0000 0.0000
Si: 0.5000 0.0000 0.5000
Sr: 0.0000 0.5000 0.5000
Y: 0.5000 0.5000 0.0000

***

No. 8
Material: Y11Ag9Pd4
Method: DFT, GGA-PBE
State: relaxed

Summary:
- Formation energy: -11.99 eV per formula unit
- Space group: No. 65

Cell lengths 3.6453, 12.8614, 12.8614 Å; angles 112.37, 90.00, 90.00 degrees
Atoms (fractional coordinates):
Y: 0.0000 0.4133 0.0726
Pd: 0.5000 0.7454 0.5519
Y: 0.0000 0.0000 0.0000
Y: 0.0000 0.8320 0.1680
Ag: 0.5000 0.3706 0.8478
Y: 0.0000 0.0726 0.4133
Ag: 0.5000 0.1522 0.6294
Ag: 0.5000 0.0568 0.2094
Y: 0.0000 0.6364 0.3636
Y: 0.0000 0.7141 0.7141
Pd: 0.5000 0.4481 0.2546
Y: 0.0000 0.9274 0.5867
Ag: 0.5000 0.2094 0.0568
Ag: 0.5000 0.6294 0.1522
Y: 0.0000 0.1680 0.8320
Ag: 0.5000 0.5000 0.5000
Ag: 0.5000 0.7906 0.9432
Ag: 0.5000 0.8478 0.3706
Y: 0.0000 0.2859 0.2859
Y: 0.0000 0.5867 0.9274
Pd: 0.5000 0.5519 0.7454
Y: 0.0000 0.3636 0.6364
Ag: 0.5000 0.9432 0.7906
Pd: 0.5000 0.2546 0.4481

***

Calculated VASP energy (eV per atom), listed in the same order as above: -4.48 -8.04 -3.38 -4.71 -9.42 -4.94 -5.05 -5.40